# Th4Ge8Rh PBE optimized geometry
# **V**: 22.632 A^3/atom
# **Total energy**: -0.234 hartree per atom
# **ΔE_f**: -0.67 eV/atom
data_Th4Ge8Rh
_cell_length_a 4.1362
_cell_length_b 4.1981
_cell_length_c 16.9440
_cell_angle_alpha 90.00
_cell_angle_beta 90.00
_cell_angle_gamma 90.00
_symmetry_space_group_name_H-M 'P m m 2'
_symmetry_Int_Tables_number 25
loop_
_symmetry_equiv_pos_as_xyz
'x,y,z'
'-x,-y,z'
'-x,y,z'
'x,-y,z'
loop_
_atom_site_label
_atom_site_fract_x
_atom_site_fract_y
_atom_site_fract_z
Th1 0.0000 0.0000 0.0000
Th2 0.0000 0.5000 0.4939
Th3 0.5000 0.0000 0.7841
Th4 0.5000 0.5000 0.2805
Ge1 0.0000 0.0000 0.3364
Ge2 0.0000 0.0000 0.6272
Ge3 0.0000 0.5000 0.1403
Ge4 0.0000 0.5000 0.8502
Ge5 0.5000 0.0000 0.1400
Ge6 0.5000 0.0000 0.4334
Ge7 0.5000 0.5000 0.6256
Ge8 0.5000 0.5000 0.9421
Rh1 0.0000 0.5000 0.7065


# Th2Sc4Si3H2 PBE optimized geometry
# **V**: 19.042 A^3/atom
# **Total energy**: -0.233 hartree per atom
data_Th2Sc4Si3H2
_cell_length_a 4.3097
_cell_length_b 4.3097
_cell_length_c 22.5551
_cell_angle_alpha 90.00
_cell_angle_beta 90.00
_cell_angle_gamma 90.00
_symmetry_space_group_name_H-M 'I 4/m m m'
_symmetry_Int_Tables_number 139
_symmetry_space_group_name_Hall '-I 4 2'
loop_
_atom_site_label
_atom_site_fract_x
_atom_site_fract_y
_atom_site_fract_z
Th1 0.0000 0.0000 0.1984
Sc1 0.0000 0.5000 0.0757
Si1 0.0000 0.0000 0.3371
Si2 0.0000 0.0000 0.5000
H1 0.0000 0.0000 0.0906


# MnTlOs PBE optimized geometry
# **V**: 17.577 A^3/atom
# **Total energy**: -0.251 hartree per atom
# **ΔE_f**: 0.76 eV/atom
data_MnTlOs
_cell_length_a 3.0802
_cell_length_b 4.9675
_cell_length_c 13.7849
_cell_angle_alpha 90.00
_cell_angle_beta 90.00
_cell_angle_gamma 90.00
_symmetry_space_group_name_H-M 'F m m 2'
_symmetry_Int_Tables_number 42
_symmetry_space_group_name_Hall 'F 2 -2'
loop_
_atom_site_label
_atom_site_fract_x
_atom_site_fract_y
_atom_site_fract_z
Mn1 0.0000 0.0000 0.0000
Tl1 0.0000 0.0000 0.3209
Os1 0.0000 0.0000 0.6378


# Ac2Pd9Au PBE optimized geometry
# **V**: 18.745 A^3/atom
# **Total energy**: -0.196 hartree per atom
# **Distance to the lowest polymorph of the same formula**: 0.0000 eV/atom
# **ΔE_f**: -0.47 eV/atom
data_Ac2Pd9Au
_cell_length_a 4.2846
_cell_length_b 4.2846
_cell_length_c 12.2529
_cell_angle_alpha 90.00
_cell_angle_beta 90.00
_cell_angle_gamma 90.00
_symmetry_space_group_name_H-M 'P 4/m m m'
_symmetry_Int_Tables_number 123
_symmetry_space_group_name_Hall '-P 4 2'
loop_
_atom_site_label
_atom_site_fract_x
_atom_site_fract_y
_atom_site_fract_z
Ac1 0.0000 0.0000 0.1786
Pd1 0.0000 0.5000 0.0000
Pd2 0.0000 0.5000 0.3504
Pd3 0.5000 0.5000 0.1738
Pd4 0.5000 0.5000 0.5000
Au1 0.0000 0.0000 0.5000